Entry 1:
The following is a GGA-PBE calculation of Li4Ge2W after structural relaxation, from the Open Quantum Materials Database.

Properties
crystal system = orthorhombic
total moment = 0.46 μB per atom

a = 4.864 Å, b = 10.682 Å, c = 4.722 Å
α = 90.00°, β = 90.00°, γ = 90.00°
Space group Cmmm (No. 65)
Asymmetric unit:
1 Li 0.000 0.000 0.000
2 Li 0.000 0.242 0.000
3 Li 0.000 0.500 0.500
4 Ge 0.000 0.121 0.500
5 W 0.000 0.500 0.000



Entry 2:
The following is a GGA-PBE calculation of LiZn2Ge2 after structural relaxation, from the Open Quantum Materials Database.

Properties
crystal system = tetragonal

a = 4.126 Å, b = 4.126 Å, c = 10.823 Å
α = 90.00°, β = 90.00°, γ = 90.00°
Space group I4/mmm (No. 139)
Asymmetric unit:
1 Li 0.000 0.000 0.000
2 Zn 0.000 0.500 0.250
3 Ge 0.000 0.000 0.389



Entry 3:
The following is a GGA-PBE calculation of LiZnGe2 after structural relaxation, from the Open Quantum Materials Database.

Properties
crystal system = cubic

a = 6.522 Å, b = 6.522 Å, c = 6.522 Å
α = 90.00°, β = 90.00°, γ = 90.00°
Space group F-43m (No. 216)
Asymmetric unit:
1 Li 0.000 0.000 0.000
2 Zn 0.250 0.250 0.250
3 Ge 0.000 0.000 0.500
4 Ge 0.250 0.250 0.750



Entry 4:
The following is a GGA-PBE calculation of Li2Zr2Ge3 after structural relaxation, from the Open Quantum Materials Database.

Properties
crystal system = orthorhombic
total moment = 0.00 μB per atom

a = 3.969 Å, b = 17.478 Å, c = 6.781 Å
α = 90.00°, β = 90.00°, γ = 90.00°
Space group Cmcm (No. 63)
Asymmetric unit:
1 Li 0.000 0.193 0.064
2 Zr 0.000 0.350 0.250
3 Zr 0.000 0.449 0.750
4 Ge 0.000 0.066 0.555
5 Ge 0.000 0.276 0.750



Entry 5:
The following is a GGA-PBE calculation of LiZrGe after structural relaxation, from the Open Quantum Materials Database.

Properties
crystal system = cubic
total moment = 0.00 μB per atom

a = 6.224 Å, b = 6.224 Å, c = 6.224 Å
α = 90.00°, β = 90.00°, γ = 90.00°
Space group F-43m (No. 216)
Asymmetric unit:
1 Li 0.000 0.000 0.000
2 Zr 0.000 0.000 0.500
3 Ge 0.250 0.250 0.250



Entry 6:
The following is a GGA-PBE calculation of Li2ZrGe after structural relaxation, from the Open Quantum Materials Database.

Properties
crystal system = cubic
total moment = 0.00 μB per atom

a = 6.423 Å, b = 6.423 Å, c = 6.423 Å
α = 90.00°, β = 90.00°, γ = 90.00°
Space group F-43m (No. 216)
Asymmetric unit:
1 Li 0.000 0.000 0.000
2 Li 0.250 0.250 0.250
3 Zr 0.250 0.250 0.750
4 Ge 0.000 0.000 0.500



| no. | energy (eV per atom) |
| --- | --- |
| 1 | -3.478 |
| 2 | -2.814 |
| 3 | -3.054 |
| 4 | -5.439 |
| 5 | -5.335 |
| 6 | -4.497 |